1.
Density functional theory data (PBE-GGA) for a geometry-optimized LiHf2AlBr structure.

Geometry as POSCAR:
```
LiHf2AlBr
1.0
4.9876 0.0000 0.0000
0.0000 4.1043 0.0000
0.0000 0.0000 4.9876
Br Hf Al Li
1 2 1 1
Direct
0.0000 0.5000 0.0000
0.0000 0.0000 0.5000
0.5000 0.0000 0.0000
0.5000 0.5000 0.5000
0.0000 0.0000 0.0000
```

Values from the calculation:
Space-group type: P4/mmm, No. 123
Raw formation energy, eV per atom: 0.71
Raw total energy, eV per formula unit: -23.7
Magnetic moment, μB per cell: 0.000

2.
Density functional theory data (PBE-GGA) for a geometry-optimized HfAlPBr2 structure.

Geometry as POSCAR:
```
HfAlPBr2
1.0
5.0862 0.0000 0.0000
0.0000 5.8727 0.0000
0.0000 0.0000 5.0862
Al Br P Hf
1 2 1 1
Direct
0.0000 0.5000 0.0000
0.5000 0.0000 0.0000
0.0000 0.0000 0.5000
0.5000 0.5000 0.5000
0.0000 0.0000 0.0000
```

Values from the calculation:
Space-group type: P4/mmm, No. 123
Raw formation energy, eV per atom: 0.36
Raw total energy, eV per formula unit: -20.6
Magnetic moment, μB per cell: 1.349

3.
Density functional theory data (PBE-GGA) for a geometry-optimized HfAl2PbBr structure.

Geometry as POSCAR:
```
HfAl2PbBr
1.0
5.4380 0.0000 0.0000
0.0000 5.0899 0.0000
0.0000 0.0000 5.4380
Hf Al Br Pb
1 2 1 1
Direct
0.0000 0.0000 0.0000
0.5000 0.0000 0.0000
0.0000 0.0000 0.5000
0.0000 0.5000 0.0000
0.5000 0.5000 0.5000
```

Values from the calculation:
Space-group type: P4/mmm, No. 123
Raw formation energy, eV per atom: 0.46
Raw total energy, eV per formula unit: -20.5
Magnetic moment, μB per cell: 0.000

4.
Density functional theory data (PBE-GGA) for a geometry-optimized HfAlPt2Br structure.

Geometry as POSCAR:
```
HfAlPt2Br
1.0
-0.4281 -0.1344 -5.0466
4.3482 -2.7537 -0.2955
-2.6880 -4.2811 0.3420
Pt Hf Al Br
2 1 1 1
Direct
0.0000 0.0000 0.5000
0.5000 0.0000 0.0000
0.0000 0.0000 0.0000
0.5000 0.5000 0.5000
0.0000 0.5000 0.0000
```

Values from the calculation:
Space-group type: P4/mmm, No. 123
Raw formation energy, eV per atom: 0.29
Raw total energy, eV per formula unit: -26.0
Magnetic moment, μB per cell: 0.000

5.
Density functional theory data (PBE-GGA) for a geometry-optimized Hf2AlSBr structure.

Geometry as POSCAR:
```
Hf2AlSBr
1.0
4.9711 0.0000 0.0000
0.0000 4.8657 0.0000
0.0000 0.0000 4.9711
Al Hf S Br
1 2 1 1
Direct
0.5000 0.5000 0.5000
0.5000 0.0000 0.0000
0.0000 0.0000 0.5000
0.0000 0.5000 0.0000
0.0000 0.0000 0.0000
```

Values from the calculation:
Space-group type: P4/mmm, No. 123
Raw formation energy, eV per atom: 0.92
Raw total energy, eV per formula unit: -24.8
Magnetic moment, μB per cell: 0.000
Energy relative to the lowest polymorph listed for this composition, eV per atom: 0.685

6.
Density functional theory data (PBE-GGA) for a geometry-optimized Hf2AlSBr structure.

Geometry as POSCAR:
```
Hf2AlSBr
1.0
4.8729 0.0000 0.0000
0.0000 4.5463 0.0000
0.0000 0.0000 4.8729
S Br Hf Al
1 1 2 1
Direct
0.0000 0.0000 0.0000
0.5000 0.5000 0.5000
0.0000 0.0000 0.5000
0.5000 0.0000 0.0000
0.0000 0.5000 0.0000
```

Values from the calculation:
Space-group type: P4/mmm, No. 123
Raw formation energy, eV per atom: 0.24
Raw total energy, eV per formula unit: -28.3
Magnetic moment, μB per cell: 0.000
Energy relative to the lowest polymorph listed for this composition, eV per atom: 0.000

7.
Density functional theory data (PBE-GGA) for a geometry-optimized HfAlSe2Br structure.

Geometry as POSCAR:
```
HfAlSe2Br
1.0
-4.7060 -0.4964 -2.1512
1.3463 -4.6595 -1.8700
-1.7913 -2.3036 4.4502
Hf Br Se Al
1 1 2 1
Direct
0.0000 0.0000 0.0000
0.0000 0.0000 0.5000
0.0000 0.5000 0.0000
0.5000 0.0000 0.0000
0.5000 0.5000 0.5000
```

Values from the calculation:
Space-group type: P4/mmm, No. 123
Raw formation energy, eV per atom: -0.56
Raw total energy, eV per formula unit: -25.2
Magnetic moment, μB per cell: 0.000
Energy relative to the lowest polymorph listed for this composition, eV per atom: 0.000

8.
Density functional theory data (PBE-GGA) for a geometry-optimized HfAlSe2Br structure.

Geometry as POSCAR:
```
HfAlSe2Br
1.0
4.9177 0.0000 0.0000
0.0000 4.9177 0.0000
0.0000 0.0000 4.7814
Se Br Hf Al
2 1 1 1
Direct
0.5000 0.0000 0.0000
0.0000 0.5000 0.0000
0.0000 0.0000 0.5000
0.5000 0.5000 0.5000
0.0000 0.0000 0.0000
```

Values from the calculation:
Space-group type: P4/mmm, No. 123
Raw formation energy, eV per atom: 0.02
Raw total energy, eV per formula unit: -22.2
Magnetic moment, μB per cell: 0.838
Energy relative to the lowest polymorph listed for this composition, eV per atom: 0.586